Record 1
# GGA-PBE FePtBr2, optimized geometry
# VASP energy = -3.575 eV/atom
# Fermi-level density of states = 21.8 states/eV per cell
# ΔE_f (raw) = 0.89 eV per atom
# Size of the total moment = 0.00 μB/f.u.
data_FePtBr2
_chemical_formula_sum 'Fe3 Pt3 Br6'
_space_group_name_H-M_alt 'R -3 m'
_space_group_IT_number 166
_space_group_name_Hall '-R 3 2"'
_cell_length_a 2.8670
_cell_length_b 2.8670
_cell_length_c 34.5268
_cell_angle_alpha 90.00
_cell_angle_beta 90.00
_cell_angle_gamma 120.00
loop_
_atom_site_label
_atom_site_fract_x
_atom_site_fract_y
_atom_site_fract_z
Fe1 0.0000 0.0000 0.0000
Pt1 0.0000 0.0000 0.5000
Br1 0.0000 0.0000 0.0652

---

Record 2
# GGA-PBE Fe2PtBr, optimized geometry
# VASP energy = -5.612 eV/atom
# Fermi-level density of states = 18.0 states/eV per cell
# ΔE_f (raw) = 0.55 eV per atom
# Size of the total moment = 6.40 μB/f.u.
data_Fe2PtBr
_chemical_formula_sum 'Fe8 Pt4 Br4'
_space_group_name_H-M_alt 'F m -3 m'
_space_group_IT_number 225
_space_group_name_Hall '-F 4 2 3'
_cell_length_a 6.3065
_cell_length_b 6.3065
_cell_length_c 6.3065
_cell_angle_alpha 90.00
_cell_angle_beta 90.00
_cell_angle_gamma 90.00
loop_
_atom_site_label
_atom_site_fract_x
_atom_site_fract_y
_atom_site_fract_z
Fe1 0.2500 0.2500 0.2500
Pt1 0.0000 0.0000 0.0000
Br1 0.0000 0.0000 0.5000

---

Record 3
# GGA-PBE FePtBr2, optimized geometry
# VASP energy = -4.505 eV/atom
# Fermi-level density of states = 3.2 states/eV per cell
# ΔE_f (raw) = -0.04 eV per atom
# Size of the total moment = 3.93 μB/f.u.
data_FePtBr2
_chemical_formula_sum 'Fe2 Pt2 Br4'
_space_group_name_H-M_alt 'C 1 m 1'
_space_group_IT_number 8
_space_group_name_Hall 'C -2y'
_cell_length_a 6.2632
_cell_length_b 3.6172
_cell_length_c 8.6280
_cell_angle_alpha 90.00
_cell_angle_beta 100.61
_cell_angle_gamma 90.00
loop_
_atom_site_label
_atom_site_fract_x
_atom_site_fract_y
_atom_site_fract_z
Fe1 0.0000 0.0000 0.0000
Pt1 0.3725 0.0000 0.1613
Br1 0.1022 0.5000 0.8064
Br2 0.3121 0.5000 0.3709

---

Record 4
# GGA-PBE Fe2PtBr, optimized geometry
# VASP energy = -5.875 eV/atom
# Fermi-level density of states = 10.0 states/eV per cell
# ΔE_f (raw) = 0.28 eV per atom
# Size of the total moment = 6.06 μB/f.u.
data_Fe2PtBr
_chemical_formula_sum 'Fe6 Pt3 Br3'
_space_group_name_H-M_alt 'R 3 m'
_space_group_IT_number 160
_space_group_name_Hall 'R 3 -2"'
_cell_length_a 2.9667
_cell_length_b 2.9667
_cell_length_c 26.6631
_cell_angle_alpha 90.00
_cell_angle_beta 90.00
_cell_angle_gamma 120.00
loop_
_atom_site_label
_atom_site_fract_x
_atom_site_fract_y
_atom_site_fract_z
Fe1 0.0000 0.0000 0.0000
Fe2 0.0000 0.0000 0.2667
Pt1 0.0000 0.0000 0.5263
Br1 0.0000 0.0000 0.7364

---

Record 5
# GGA-PBE Fe2PtBr, optimized geometry
# VASP energy = -5.739 eV/atom
# Fermi-level density of states = 4.0 states/eV per cell
# ΔE_f (raw) = 0.42 eV per atom
# Size of the total moment = 6.93 μB/f.u.
data_Fe2PtBr
_chemical_formula_sum 'Fe2 Pt1 Br1'
_space_group_name_H-M_alt 'P 4/m m m'
_space_group_IT_number 123
_space_group_name_Hall '-P 4 2'
_cell_length_a 4.6293
_cell_length_b 4.6293
_cell_length_c 2.9493
_cell_angle_alpha 90.00
_cell_angle_beta 90.00
_cell_angle_gamma 90.00
loop_
_atom_site_label
_atom_site_fract_x
_atom_site_fract_y
_atom_site_fract_z
Fe1 0.0000 0.5000 0.0000
Pt1 0.0000 0.0000 0.5000
Br1 0.5000 0.5000 0.5000

---

Record 6
# GGA-PBE FePtBr2, optimized geometry
# VASP energy = -3.809 eV/atom
# Fermi-level density of states = 3.6 states/eV per cell
# ΔE_f (raw) = 0.65 eV per atom
# Size of the total moment = 3.85 μB/f.u.
data_FePtBr2
_chemical_formula_sum 'Fe1 Pt1 Br2'
_space_group_name_H-M_alt 'P 4/m m m'
_space_group_IT_number 123
_space_group_name_Hall '-P 4 2'
_cell_length_a 3.2130
_cell_length_b 3.2130
_cell_length_c 7.2781
_cell_angle_alpha 90.00
_cell_angle_beta 90.00
_cell_angle_gamma 90.00
loop_
_atom_site_label
_atom_site_fract_x
_atom_site_fract_y
_atom_site_fract_z
Fe1 0.0000 0.0000 0.0000
Pt1 0.0000 0.0000 0.5000
Br1 0.5000 0.5000 0.2232

---

Record 7
# GGA-PBE Fe2PtBr, optimized geometry
# VASP energy = -5.874 eV/atom
# Fermi-level density of states = 5.1 states/eV per cell
# ΔE_f (raw) = 0.29 eV per atom
# Size of the total moment = 6.51 μB/f.u.
data_Fe2PtBr
_chemical_formula_sum 'Fe4 Pt2 Br2'
_space_group_name_H-M_alt 'C 1 m 1'
_space_group_IT_number 8
_space_group_name_Hall 'C -2y'
_cell_length_a 8.0324
_cell_length_b 2.9798
_cell_length_c 6.6422
_cell_angle_alpha 90.00
_cell_angle_beta 96.50
_cell_angle_gamma 90.00
loop_
_atom_site_label
_atom_site_fract_x
_atom_site_fract_y
_atom_site_fract_z
Fe1 0.0000 0.0000 0.0000
Fe2 0.2251 0.5000 0.1767
Pt1 0.4602 0.0000 0.3289
Br1 0.3973 0.0000 0.7137

---

Record 8
# GGA-PBE FePtBr2, optimized geometry
# VASP energy = -4.419 eV/atom
# Fermi-level density of states = 0.8 states/eV per cell
# ΔE_f (raw) = 0.04 eV per atom
# Size of the total moment = 3.97 μB/f.u.
data_FePtBr2
_chemical_formula_sum 'Fe1 Pt1 Br2'
_space_group_name_H-M_alt 'P 1 m 1'
_space_group_IT_number 6
_space_group_name_Hall 'P -2y'
_cell_length_a 3.6462
_cell_length_b 3.4273
_cell_length_c 7.7233
_cell_angle_alpha 90.00
_cell_angle_beta 96.73
_cell_angle_gamma 90.00
loop_
_atom_site_label
_atom_site_fract_x
_atom_site_fract_y
_atom_site_fract_z
Fe1 0.0000 0.0000 0.0000
Pt1 0.4294 0.5000 0.8763
Br1 0.1086 0.5000 0.2378
Br2 0.7552 0.0000 0.6755

---

Record 9
# GGA-PBE Fe2PtBr, optimized geometry
# VASP energy = -5.582 eV/atom
# Fermi-level density of states = 17.3 states/eV per cell
# ΔE_f (raw) = 0.58 eV per atom
# Size of the total moment = 7.00 μB/f.u.
data_Fe2PtBr
_chemical_formula_sum 'Fe8 Pt4 Br4'
_space_group_name_H-M_alt 'I -4 2 d'
_space_group_IT_number 122
_space_group_name_Hall 'I -4 2bw'
_cell_length_a 5.8147
_cell_length_b 5.8147
_cell_length_c 10.8822
_cell_angle_alpha 90.00
_cell_angle_beta 90.00
_cell_angle_gamma 90.00
loop_
_atom_site_label
_atom_site_fract_x
_atom_site_fract_y
_atom_site_fract_z
Fe1 0.2327 0.2500 0.1250
Pt1 0.0000 0.0000 0.0000
Br1 0.0000 0.0000 0.5000

---

Record 10
# GGA-PBE FePtBr2, optimized geometry
# VASP energy = -3.952 eV/atom
# Fermi-level density of states = 4.1 states/eV per cell
# ΔE_f (raw) = 0.51 eV per atom
# Size of the total moment = 3.43 μB/f.u.
data_FePtBr2
_chemical_formula_sum 'Fe1 Pt1 Br2'
_space_group_name_H-M_alt 'P m m m'
_space_group_IT_number 47
_space_group_name_Hall '-P 2 2'
_cell_length_a 3.2724
_cell_length_b 4.0913
_cell_length_c 6.2894
_cell_angle_alpha 90.00
_cell_angle_beta 90.00
_cell_angle_gamma 90.00
loop_
_atom_site_label
_atom_site_fract_x
_atom_site_fract_y
_atom_site_fract_z
Fe1 0.0000 0.0000 0.0000
Pt1 0.5000 0.0000 0.5000
Br1 0.0000 0.5000 0.5000
Br2 0.5000 0.5000 0.0000

---

Record 11
# GGA-PBE FePtBr2, optimized geometry
# VASP energy = -3.935 eV/atom
# Fermi-level density of states = 3.3 states/eV per cell
# ΔE_f (raw) = 0.53 eV per atom
# Size of the total moment = 3.24 μB/f.u.
data_FePtBr2
_chemical_formula_sum 'Fe1 Pt1 Br2'
_space_group_name_H-M_alt 'P 1 2/m 1'
_space_group_IT_number 10
_space_group_name_Hall '-P 2y'
_cell_length_a 4.6327
_cell_length_b 4.1058
_cell_length_c 4.6800
_cell_angle_alpha 90.00
_cell_angle_beta 92.11
_cell_angle_gamma 90.00
loop_
_atom_site_label
_atom_site_fract_x
_atom_site_fract_y
_atom_site_fract_z
Fe1 0.0000 0.0000 0.0000
Pt1 0.5000 0.0000 0.5000
Br1 0.2449 0.5000 0.2452

---

Record 12
# GGA-PBE Fe2PtBr, optimized geometry
# VASP energy = -6.032 eV/atom
# Fermi-level density of states = 2.3 states/eV per cell
# ΔE_f (raw) = 0.13 eV per atom
# Size of the total moment = 7.00 μB/f.u.
data_Fe2PtBr
_chemical_formula_sum 'Fe2 Pt1 Br1'
_space_group_name_H-M_alt 'P m m m'
_space_group_IT_number 47
_space_group_name_Hall '-P 2 2'
_cell_length_a 3.0063
_cell_length_b 3.6662
_cell_length_c 6.7226
_cell_angle_alpha 90.00
_cell_angle_beta 90.00
_cell_angle_gamma 90.00
loop_
_atom_site_label
_atom_site_fract_x
_atom_site_fract_y
_atom_site_fract_z
Fe1 0.0000 0.0000 0.1798
Pt1 0.5000 0.5000 0.0000
Br1 0.5000 0.0000 0.5000

---

- The highest ΔE_f (raw) belongs to which entry?
  number 1